A relaxed structure of BaYSi3, computed with PBE-GGA.

Cell: 5.355 5.355 5.355 Å, 90.00 90.00 90.00°
Sites, in units of the cell vectors:
Ba (0.000, 0.000, 0.000)
Y (0.500, 0.500, 0.500)
Si (0.000, 0.500, 0.500)
Si (0.500, 0.000, 0.500)
Si (0.500, 0.500, 0.000)

Summary:
calculated density	3.4	Mg/m³
E_tot	-23.4	eV for the cell shown
magnetization	0.0	Bohr magnetons per cell
raw formation energy	0.24	eV per atom
space group	No. 221
crystal system	cubic



A relaxed structure of NaHgPb2Se4, computed with PBE-GGA.

Cell: 7.325 4.218 7.341 Å, 90.00 109.19 90.00°
Sites, in units of the cell vectors:
Na (0.000, 0.000, 0.000)
Hg (0.000, 0.500, 0.500)
Pb (0.500, 0.000, 0.500)
Pb (0.500, 0.500, 0.000)
Se (0.237, 0.000, 0.742)
Se (0.242, 0.500, 0.252)
Se (0.758, 0.500, 0.748)
Se (0.763, 0.000, 0.258)

Summary:
calculated density	7.4	Mg/m³
E_tot	-26.7	eV for the cell shown
magnetization	0.0	Bohr magnetons per cell
raw formation energy	-0.47	eV per atom
space group	No. 10
crystal system	monoclinic



A relaxed structure of Tb2Ga4HgPt3, computed with PBE-GGA.

Cell: 4.268 4.268 10.745 Å, 90.00 90.00 90.00°
Sites, in units of the cell vectors:
Tb (0.000, 0.500, 0.234)
Tb (0.500, 0.000, 0.766)
Ga (0.000, 0.000, 0.000)
Ga (0.000, 0.500, 0.644)
Ga (0.500, 0.000, 0.356)
Ga (0.500, 0.500, 0.000)
Hg (0.000, 0.000, 0.500)
Pt (0.000, 0.500, 0.870)
Pt (0.500, 0.000, 0.130)
Pt (0.500, 0.500, 0.500)

Summary:
calculated density	11.7	Mg/m³
E_tot	-47.6	eV for the cell shown
magnetization	0.0	Bohr magnetons per cell
space group	No. 115
E_form	-76	kJ/mol of atoms
crystal system	tetragonal



A relaxed structure of Hf2GeRh2, computed with PBE-GGA.

Cell: 7.456 7.456 3.200 Å, 90.00 90.00 90.00°
Sites, in units of the cell vectors:
Hf (0.168, 0.332, 0.000)
Hf (0.332, 0.832, 0.000)
Hf (0.668, 0.168, 0.000)
Hf (0.832, 0.668, 0.000)
Ge (0.000, 0.000, 0.500)
Ge (0.500, 0.500, 0.500)
Rh (0.131, 0.631, 0.500)
Rh (0.369, 0.131, 0.500)
Rh (0.631, 0.869, 0.500)
Rh (0.869, 0.369, 0.500)

Summary:
calculated density	11.9	Mg/m³
E_tot	-85.6	eV for the cell shown
magnetization	0.0	Bohr magnetons per cell
space group	No. 127
E_form	-68	kJ/mol of atoms
crystal system	tetragonal



A relaxed structure of PbAu, computed with PBE-GGA.

Cell: 6.502 6.502 6.502 Å, 90.00 90.00 90.00°
Sites, in units of the cell vectors:
Pb (0.000, 0.000, 0.000)
Pb (0.000, 0.500, 0.500)
Pb (0.500, 0.000, 0.500)
Pb (0.500, 0.500, 0.000)
Au (0.250, 0.250, 0.750)
Au (0.250, 0.750, 0.250)
Au (0.750, 0.250, 0.250)
Au (0.750, 0.750, 0.750)

Summary:
calculated density	9.8	Mg/m³
E_tot	-26.1	eV for the cell shown
magnetization	0.0	Bohr magnetons per cell
space group	No. 216
E_form	23	kJ/mol of atoms
crystal system	cubic



A relaxed structure of Hf2BiSb2, computed with PBE-GGA.

Cell: 8.076 8.076 3.749 Å, 90.00 90.00 90.00°
Sites, in units of the cell vectors:
Hf (0.148, 0.352, 0.000)
Hf (0.352, 0.852, 0.000)
Hf (0.648, 0.148, 0.000)
Hf (0.852, 0.648, 0.000)
Bi (0.000, 0.000, 0.000)
Bi (0.500, 0.500, 0.000)
Sb (0.145, 0.645, 0.500)
Sb (0.355, 0.145, 0.500)
Sb (0.645, 0.855, 0.500)
Sb (0.855, 0.355, 0.500)

Summary:
calculated density	11.0	Mg/m³
E_tot	-67.2	eV for the cell shown
magnetization	0.0	Bohr magnetons per cell
raw formation energy	-0.31	eV per atom
space group	No. 127
crystal system	tetragonal



A relaxed structure of Cu2AsO2, computed with PBE-GGA.

Cell: 3.615 3.615 8.964 Å, 90.00 90.00 90.00°
Sites, in units of the cell vectors:
Cu (0.000, 0.000, 0.144)
Cu (0.000, 0.000, 0.856)
Cu (0.500, 0.500, 0.356)
Cu (0.500, 0.500, 0.644)
As (0.000, 0.000, 0.500)
As (0.500, 0.500, 0.000)
O (0.000, 0.500, 0.250)
O (0.000, 0.500, 0.750)
O (0.500, 0.000, 0.250)
O (0.500, 0.000, 0.750)

Summary:
calculated density	6.6	Mg/m³
E_tot	-45.0	eV for the cell shown
magnetization	0.0	Bohr magnetons per cell
raw formation energy	0.05	eV per atom
space group	No. 139
crystal system	tetragonal



A relaxed structure of AcCdBi3Pb, computed with PBE-GGA.

Cell: 9.026 4.824 9.739 Å, 90.00 97.65 90.00°
Sites, in units of the cell vectors:
Ac (0.151, 0.250, 0.224)
Ac (0.849, 0.750, 0.776)
Cd (0.078, 0.250, 0.570)
Cd (0.922, 0.750, 0.430)
Bi (0.121, 0.250, 0.876)
Bi (0.279, 0.750, 0.527)
Bi (0.435, 0.750, 0.256)
Bi (0.565, 0.250, 0.744)
Bi (0.721, 0.250, 0.473)
Bi (0.879, 0.750, 0.124)
Pb (0.358, 0.750, 0.912)
Pb (0.642, 0.250, 0.088)

Summary:
calculated density	9.3	Mg/m³
E_tot	-43.7	eV for the cell shown
magnetization	0.0	Bohr magnetons per cell
space group	No. 11
E_form	-23	kJ/mol of atoms
crystal system	monoclinic



A relaxed structure of Tm2ZnRe, computed with PBE-GGA.

Cell: 3.058 3.058 31.459 Å, 90.00 90.00 120.00°
Sites, in units of the cell vectors:
Tm (0.000, 0.000, 0.088)
Tm (0.000, 0.000, 0.912)
Tm (0.333, 0.667, 0.579)
Tm (0.333, 0.667, 0.754)
Tm (0.667, 0.333, 0.246)
Tm (0.667, 0.333, 0.421)
Zn (0.000, 0.000, 0.500)
Zn (0.333, 0.667, 0.167)
Zn (0.667, 0.333, 0.833)
Re (0.000, 0.000, 0.000)
Re (0.333, 0.667, 0.667)
Re (0.667, 0.333, 0.333)

Summary:
calculated density	11.5	Mg/m³
E_tot	-60.5	eV for the cell shown
magnetization	0.0	Bohr magnetons per cell
space group	No. 166
E_form	61	kJ/mol of atoms
crystal system	trigonal



A relaxed structure of Ba2CaTl, computed with PBE-GGA.

Cell: 8.882 8.882 8.882 Å, 90.00 90.00 90.00°
Sites, in units of the cell vectors:
Ba (0.250, 0.250, 0.250)
Ba (0.250, 0.250, 0.750)
Ba (0.250, 0.750, 0.250)
Ba (0.250, 0.750, 0.750)
Ba (0.750, 0.250, 0.250)
Ba (0.750, 0.250, 0.750)
Ba (0.750, 0.750, 0.250)
Ba (0.750, 0.750, 0.750)
Ca (0.000, 0.000, 0.000)
Ca (0.000, 0.500, 0.500)
Ca (0.500, 0.000, 0.500)
Ca (0.500, 0.500, 0.000)
Tl (0.000, 0.000, 0.500)
Tl (0.000, 0.500, 0.000)
Tl (0.500, 0.000, 0.000)
Tl (0.500, 0.500, 0.500)

Summary:
calculated density	4.9	Mg/m³
E_tot	-35.0	eV for the cell shown
magnetization	0.0	Bohr magnetons per cell
space group	No. 225
E_form	-13	kJ/mol of atoms
crystal system	cubic



A relaxed structure of CeBeGa2Pd4, computed with PBE-GGA.

Cell: 8.822 8.822 8.822 Å, 28.00 28.00 28.00°
Sites, in units of the cell vectors:
Ce (0.000, 0.000, 0.000)
Be (0.500, 0.500, 0.500)
Ga (0.240, 0.240, 0.240)
Ga (0.760, 0.760, 0.760)
Pd (0.137, 0.137, 0.137)
Pd (0.406, 0.406, 0.406)
Pd (0.594, 0.594, 0.594)
Pd (0.863, 0.863, 0.863)

Summary:
calculated density	8.9	Mg/m³
E_tot	-41.7	eV for the cell shown
magnetization	0.7	Bohr magnetons per cell
space group	No. 166
E_form	-63	kJ/mol of atoms
crystal system	trigonal



A relaxed structure of GaGe3Cl, computed with PBE-GGA.

Cell: 5.016 5.016 5.016 Å, 90.00 90.00 90.00°
Sites, in units of the cell vectors:
Ga (0.000, 0.000, 0.000)
Ge (0.000, 0.500, 0.500)
Ge (0.500, 0.000, 0.500)
Ge (0.500, 0.500, 0.000)
Cl (0.500, 0.500, 0.500)

Summary:
calculated density	4.3	Mg/m³
E_tot	-15.1	eV for the cell shown
magnetization	0.0	Bohr magnetons per cell
raw formation energy	0.73	eV per atom
space group	No. 221
crystal system	cubic



A relaxed structure of PaGeAs, computed with PBE-GGA.

Cell: 3.681 16.965 4.650 Å, 90.00 90.00 90.00°
Sites, in units of the cell vectors:
Pa (0.000, 0.161, 0.250)
Pa (0.000, 0.839, 0.750)
Pa (0.500, 0.339, 0.750)
Pa (0.500, 0.661, 0.250)
Ge (0.000, 0.000, 0.000)
Ge (0.000, 0.000, 0.500)
Ge (0.500, 0.500, 0.000)
Ge (0.500, 0.500, 0.500)
As (0.000, 0.333, 0.250)
As (0.000, 0.667, 0.750)
As (0.500, 0.167, 0.750)
As (0.500, 0.833, 0.250)

Summary:
calculated density	8.7	Mg/m³
E_tot	-78.0	eV for the cell shown
magnetization	0.0	Bohr magnetons per cell
space group	No. 63
E_form	-23	kJ/mol of atoms
crystal system	orthorhombic



A relaxed structure of YNpTeS2, computed with PBE-GGA.

Cell: 4.431 4.431 13.494 Å, 90.00 90.00 90.00°
Sites, in units of the cell vectors:
Y (0.000, 0.000, 0.000)
Y (0.500, 0.500, 0.500)
Np (0.000, 0.000, 0.275)
Np (0.500, 0.500, 0.775)
Te (0.000, 0.000, 0.642)
Te (0.500, 0.500, 0.142)
S (0.000, 0.500, 0.389)
S (0.000, 0.500, 0.889)
S (0.500, 0.000, 0.389)
S (0.500, 0.000, 0.889)

Summary:
calculated density	6.5	Mg/m³
E_tot	-74.0	eV for the cell shown
magnetization	8.0	Bohr magnetons per cell
raw formation energy	-1.24	eV per atom
space group	No. 107
crystal system	tetragonal



A relaxed structure of NaScF3, computed with PBE-GGA.

Cell: 4.048 4.048 4.048 Å, 90.00 90.00 90.00°
Sites, in units of the cell vectors:
Na (0.000, 0.000, 0.000)
Sc (0.500, 0.500, 0.500)
F (0.000, 0.000, 0.500)
F (0.000, 0.500, 0.000)
F (0.500, 0.000, 0.000)

Summary:
calculated density	3.1	Mg/m³
E_tot	-25.1	eV for the cell shown
magnetization	1.0	Bohr magnetons per cell
raw formation energy	-2.37	eV per atom
space group	No. 221
crystal system	cubic



A relaxed structure of CuSbTe2S, computed with PBE-GGA.

Cell: 5.235 5.235 5.202 Å, 90.00 90.00 90.00°
Sites, in units of the cell vectors:
Cu (0.000, 0.000, 0.000)
Sb (0.500, 0.500, 0.000)
Te (0.000, 0.500, 0.500)
Te (0.500, 0.000, 0.500)
S (0.500, 0.500, 0.500)

Summary:
calculated density	5.5	Mg/m³
E_tot	-14.6	eV for the cell shown
magnetization	0.0	Bohr magnetons per cell
raw formation energy	0.80	eV per atom
space group	No. 123
crystal system	tetragonal



A relaxed structure of CuOs2Rh2, computed with PBE-GGA.

Cell: 7.567 7.567 2.668 Å, 90.00 90.00 90.00°
Sites, in units of the cell vectors:
Cu (0.000, 0.000, 0.000)
Cu (0.500, 0.500, 0.000)
Os (0.174, 0.326, 0.500)
Os (0.326, 0.826, 0.500)
Os (0.674, 0.174, 0.500)
Os (0.826, 0.674, 0.500)
Rh (0.122, 0.622, 0.000)
Rh (0.378, 0.122, 0.000)
Rh (0.622, 0.878, 0.000)
Rh (0.878, 0.378, 0.000)

Summary:
calculated density	14.1	Mg/m³
E_tot	-77.3	eV for the cell shown
magnetization	0.0	Bohr magnetons per cell
space group	No. 127
E_form	50	kJ/mol of atoms
crystal system	tetragonal



A relaxed structure of CsK3Au3, computed with PBE-GGA.

Cell: 10.275 10.275 10.275 Å, 90.00 90.00 90.00°
Sites, in units of the cell vectors:
Cs (0.072, 0.428, 0.572)
Cs (0.428, 0.572, 0.072)
Cs (0.572, 0.072, 0.428)
Cs (0.928, 0.928, 0.928)
K (0.074, 0.574, 0.926)
K (0.174, 0.826, 0.326)
K (0.179, 0.179, 0.179)
K (0.321, 0.821, 0.679)
K (0.326, 0.174, 0.826)
K (0.426, 0.426, 0.426)
K (0.574, 0.926, 0.074)
K (0.674, 0.674, 0.674)
K (0.679, 0.321, 0.821)
K (0.821, 0.679, 0.321)
K (0.826, 0.326, 0.174)
K (0.926, 0.074, 0.574)
Au (0.006, 0.257, 0.880)
Au (0.120, 0.506, 0.243)
Au (0.243, 0.120, 0.506)
Au (0.257, 0.880, 0.006)
Au (0.380, 0.494, 0.743)
Au (0.494, 0.743, 0.380)
Au (0.506, 0.243, 0.120)
Au (0.620, 0.994, 0.757)
Au (0.743, 0.380, 0.494)
Au (0.757, 0.620, 0.994)
Au (0.880, 0.006, 0.257)
Au (0.994, 0.757, 0.620)

Summary:
calculated density	5.1	Mg/m³
E_tot	-63.4	eV for the cell shown
magnetization	0.0	Bohr magnetons per cell
space group	No. 198
E_form	-26	kJ/mol of atoms
crystal system	cubic



A relaxed structure of CdSnIr2, computed with PBE-GGA.

Cell: 3.111 3.111 7.150 Å, 90.00 90.00 90.00°
Sites, in units of the cell vectors:
Cd (0.000, 0.000, 0.000)
Sn (0.000, 0.000, 0.500)
Ir (0.500, 0.500, 0.270)
Ir (0.500, 0.500, 0.730)

Summary:
calculated density	14.8	Mg/m³
E_tot	-22.5	eV for the cell shown
magnetization	0.0	Bohr magnetons per cell
space group	No. 123
E_form	4	kJ/mol of atoms
crystal system	tetragonal



A relaxed structure of TbSnAs2, computed with PBE-GGA.

Cell: 3.868 3.868 26.900 Å, 90.00 90.00 120.00°
Sites, in units of the cell vectors:
Tb (0.000, 0.000, 0.000)
Tb (0.333, 0.667, 0.667)
Tb (0.667, 0.333, 0.333)
Sn (0.000, 0.000, 0.500)
Sn (0.333, 0.667, 0.167)
Sn (0.667, 0.333, 0.833)
As (0.000, 0.000, 0.106)
As (0.000, 0.000, 0.894)
As (0.333, 0.667, 0.561)
As (0.333, 0.667, 0.772)
As (0.667, 0.333, 0.228)
As (0.667, 0.333, 0.439)

Summary:
calculated density	6.1	Mg/m³
E_tot	-52.7	eV for the cell shown
magnetization	0.0	Bohr magnetons per cell
space group	No. 166
E_form	9	kJ/mol of atoms
crystal system	trigonal